Here is DyAu3 at its PBEsol-relaxed geometry from Alexandria via LeMat-Bulk. Energies are from meta-GGA SCAN.

Values from the calculation:
Its total energy is -64.624 eV per atom. Its density of states at the Fermi level is 0.3264 states/eV/atom. The calculation puts the energy of formation from the pure elements at -18.60 kcal/mol of atoms. As for the mass density: 16.3 g/cm3. The space group is Fm-3m.

abc: 4.7749 4.7749 4.7749
angles: 60.00 60.00 60.00
Element x y z (fractional)
Au 0.7500 0.7500 0.7500
Au 0.2500 0.2500 0.2500
Au 0.0000 0.0000 0.0000
Dy 0.5000 0.5000 0.5000


Here is CdNiAs at its PBEsol-relaxed geometry from Alexandria via LeMat-Bulk. Energies are from meta-GGA SCAN.

Values from the calculation:
Its total energy is -22.287 eV per atom. Its density of states at the Fermi level is 0.5116 states/eV/atom. The calculation puts the energy of formation from the pure elements at -0.64 kcal/mol of atoms. As for the mass density: 8.3 g/cm3. The space group is I4mm.

abc: 2.9133 2.9133 6.1456
angles: 103.71 103.71 90.00
Element x y z (fractional)
As 0.9623 0.9623 0.9246
Cd 0.6886 0.6886 0.3772
Ni 0.3491 0.3491 0.6982


Here is Zn2Ag at its PBEsol-relaxed geometry from Alexandria via LeMat-Bulk. Energies are from meta-GGA SCAN.

Values from the calculation:
Its total energy is -19.512 eV per atom. Its density of states at the Fermi level is 0.2005 states/eV/atom. The calculation puts the energy of formation from the pure elements at -1.07 kcal/mol of atoms. As for the mass density: 9.1 g/cm3. The space group is Fd-3m.

abc: 4.9845 4.9845 4.9845
angles: 60.00 60.00 60.00
Element x y z (fractional)
Zn 0.1250 0.1250 0.6250
Zn 0.1250 0.6250 0.1250
Zn 0.1250 0.1250 0.1250
Zn 0.6250 0.1250 0.1250
Ag 0.7500 0.7500 0.7500
Ag 0.5000 0.5000 0.5000


Here is TaBiSe2 at its PBEsol-relaxed geometry from Alexandria via LeMat-Bulk. Energies are from meta-GGA SCAN.

Values from the calculation:
The formation energy (no corrections) comes out at -0.49 eV/atom. Its total energy is -46.816 eV per atom. Its density of states at the Fermi level is 0.4224 states/eV/atom. As for the mass density: 9.6 g/cm3. The space group is R-3m.

abc: 3.4148 3.4148 9.5740
angles: 79.73 79.73 60.00
Element x y z (fractional)
Bi 0.0000 0.0000 0.0000
Se 0.8931 0.8931 0.3207
Se 0.1069 0.1069 0.6793
Ta 0.5000 0.5000 0.5000


Here is ScCr2In at its PBEsol-relaxed geometry from Alexandria via LeMat-Bulk. Energies are from meta-GGA SCAN.

Values from the calculation:
Its total energy is -20.980 eV per atom. Its density of states at the Fermi level is 0.6169 states/eV/atom. The calculation puts the energy of formation from the pure elements at 2.72 kcal/mol of atoms. As for the mass density: 6.5 g/cm3. The space group is P4/mmm.

abc: 3.2237 3.2237 6.5319
angles: 90.00 90.00 90.00
Element x y z (fractional)
Cr 0.0000 0.0000 0.7503
Cr 0.0000 0.0000 0.2497
In 0.5000 0.5000 0.0000
Sc 0.5000 0.5000 0.5000


Here is ZrIn2Co at its PBEsol-relaxed geometry from Alexandria via LeMat-Bulk. Energies are from meta-GGA SCAN.

Values from the calculation:
Its total energy is -28.597 eV per atom. Its density of states at the Fermi level is 0.3337 states/eV/atom. The calculation puts the energy of formation from the pure elements at 2.23 kcal/mol of atoms. As for the mass density: 8.4 g/cm3. The space group is R-3m.

abc: 3.1040 3.1040 9.1953
angles: 80.28 80.28 60.00
Element x y z (fractional)
Co 0.0000 0.0000 0.0000
In 0.2613 0.2613 0.2160
In 0.7387 0.7387 0.7840
Zr 0.5000 0.5000 0.5000


Here is Os4Br at its PBEsol-relaxed geometry from Alexandria via LeMat-Bulk. Energies are from meta-GGA SCAN.

Values from the calculation:
The formation energy (no corrections) comes out at 1.09 eV/atom. Its total energy is -60.304 eV per atom. Its density of states at the Fermi level is 0.7299 states/eV/atom. As for the mass density: 16.5 g/cm3. The space group is I4/mmm.

abc: 3.6987 3.6987 6.7031
angles: 106.02 106.02 90.00
Element x y z (fractional)
Br 0.0000 0.0000 0.0000
Os 0.7500 0.2500 0.5000
Os 0.2500 0.7500 0.5000
Os 0.6067 0.6067 0.2135
Os 0.3933 0.3933 0.7865


Here is CdGaHg2 at its PBEsol-relaxed geometry from Alexandria via LeMat-Bulk. Energies are from meta-GGA SCAN.

Values from the calculation:
Its total energy is -45.694 eV per atom. Its density of states at the Fermi level is 0.3556 states/eV/atom. The calculation puts the energy of formation from the pure elements at 1.82 kcal/mol of atoms. As for the mass density: 10.7 g/cm3. The space group is I-42d.

abc: 5.9676 6.2710 6.2710
angles: 76.92 61.59 61.59
Element x y z (fractional)
Hg 0.6088 0.0162 0.5162
Hg 0.1412 0.9838 0.4838
Hg 0.3750 0.4838 0.0162
Hg 0.8750 0.5162 0.9838
Ga 0.5000 0.0000 0.0000
Ga 0.2500 0.5000 0.5000
Cd 0.0000 0.0000 0.0000
Cd 0.7500 0.5000 0.5000